A relaxed AgIrBr2 crystal. Source: Alexandria via LeMat-Bulk, functional PBEsol.

Computed properties:
As for the uncorrected formation energy: 69.47 kJ/mol of atoms. Its space group is P4/mmm.

Cell lengths 4.7588, 4.7588, 3.2139 Å; angles 90.00, 90.00, 90.00 degrees
Closest atoms and distances in Å follow each position.
Positions (direct):
Ag  0.0000  0.0000  0.0000  8 Br 2.87, 2 Ag 3.21
Ir  0.5000  0.5000  0.0000  8 Br 2.87, 2 Ir 3.21
Br  0.0000  0.5000  0.5000  4 Ir 2.87, 4 Ag 2.87, 2 Br 3.21
Br  0.5000  0.0000  0.5000  4 Ir 2.87, 4 Ag 2.87, 2 Br 3.21

---

A relaxed ZnAu3 crystal. Source: Alexandria via LeMat-Bulk, functional PBEsol.

Computed properties:
Its space group is I4_1/acd. For the energy of formation, the calculation gives -157 meV per atom.

Cell lengths 17.0690, 17.0690, 17.0690 Å; angles 161.21, 161.21, 26.70 degrees
Closest atoms and distances in Å follow each position.
Positions (direct):
Zn  0.0570  0.3070  0.7500  10 Au 2.68-2.80
Zn  0.1930  0.4430  0.7500  10 Au 2.68-2.80
Zn  0.3070  0.0570  0.2500  10 Au 2.68-2.80
Zn  0.4430  0.1930  0.2500  10 Au 2.68-2.80
Zn  0.5570  0.8070  0.7500  10 Au 2.68-2.80
Zn  0.6930  0.9430  0.7500  10 Au 2.68-2.80
Zn  0.8070  0.5570  0.2500  10 Au 2.68-2.80
Zn  0.9430  0.6930  0.2500  10 Au 2.68-2.80
Au  0.0025  0.7500  0.7525  4 Zn 2.73-2.74, 8 Au 2.79-2.94
Au  0.0580  0.8080  0.6161  2 Zn 2.68, 9 Au 2.84-2.89
Au  0.0654  0.8154  0.2500  4 Zn 2.80, 8 Au 2.84-2.94
Au  0.1846  0.9346  0.2500  4 Zn 2.80, 8 Au 2.84-2.94
Au  0.1920  0.3080  0.2500  2 Zn 2.68, 9 Au 2.84-2.89
Au  0.2500  0.0025  0.7525  4 Zn 2.73-2.74, 8 Au 2.79-2.94
Au  0.2500  0.5025  0.2525  4 Zn 2.73-2.74, 8 Au 2.79-2.94
Au  0.3080  0.5580  0.1161  2 Zn 2.68, 9 Au 2.84-2.89
Au  0.3154  0.5654  0.7500  4 Zn 2.80, 8 Au 2.84-2.94
Au  0.4346  0.6846  0.7500  4 Zn 2.80, 8 Au 2.84-2.94
Au  0.4420  0.0580  0.7500  2 Zn 2.68, 9 Au 2.84-2.89
Au  0.4975  0.2500  0.7475  4 Zn 2.73-2.74, 8 Au 2.79-2.94
Au  0.5025  0.7500  0.2525  4 Zn 2.73-2.74, 8 Au 2.79-2.94
Au  0.5580  0.9420  0.2500  2 Zn 2.68, 9 Au 2.84-2.89
Au  0.5654  0.3154  0.2500  4 Zn 2.80, 8 Au 2.84-2.94
Au  0.6846  0.4346  0.2500  4 Zn 2.80, 8 Au 2.84-2.94
Au  0.6920  0.4420  0.8839  2 Zn 2.68, 9 Au 2.84-2.89
Au  0.7500  0.4975  0.7475  4 Zn 2.73-2.74, 8 Au 2.79-2.94
Au  0.7500  0.9975  0.2475  4 Zn 2.73-2.74, 8 Au 2.79-2.94
Au  0.8080  0.6920  0.7500  2 Zn 2.68, 9 Au 2.84-2.89
Au  0.8154  0.0654  0.7500  4 Zn 2.80, 8 Au 2.84-2.94
Au  0.9346  0.1846  0.7500  4 Zn 2.80, 8 Au 2.84-2.94
Au  0.9420  0.1920  0.3839  2 Zn 2.68, 9 Au 2.84-2.89
Au  0.9975  0.2500  0.2475  4 Zn 2.73-2.74, 8 Au 2.79-2.94

---

no.,total energy (eV per cell),magnetic moment (μB/f.u.)
1,-14.0,0.00
2,-111.9,0.00